Entry 1:
{
  "formula": "Hf2Nb2Os3",
  "functional": "PBE",
  "state": "optimized geometry",
  "space_group": "R3m, No. 160",
  "total_energy_ev_per_cell": -75.97,
  "mass_density_g_cm3": 14.42,
  "cell": [[2.2535, 1.3010, 7.2915], [-2.2535, 1.3010, 7.2915], [0.0000, -2.6021, 7.2915]],
  "species": ["Hf", "Hf", "Nb", "Nb", "Os", "Os", "Os"],
  "frac_coords": [[0.0000, 0.0000, 0.0000], [0.4914, 0.4914, 0.4914], [0.2425, 0.2425, 0.2425], [0.7487, 0.7487, 0.7487], [0.3684, 0.3684, 0.3684], [0.6194, 0.6194, 0.6194], [0.8709, 0.8709, 0.8709]]
}



Entry 2:
{
  "formula": "HfPaNb",
  "functional": "PBE",
  "state": "optimized geometry",
  "space_group": "F-43m, No. 216",
  "e_above_lowest_polymorph_mev_per_atom": 640,
  "mass_density_g_cm3": 11.22,
  "cell": [[0.0000, 3.3380, 3.3380], [3.3380, 0.0000, 3.3380], [3.3380, 3.3380, 0.0000]],
  "species": ["Hf", "Pa", "Nb"],
  "frac_coords": [[0.0000, 0.0000, 0.0000], [0.2500, 0.2500, 0.2500], [0.5000, 0.5000, 0.5000]]
}



Entry 3:
{
  "formula": "HfPaNb",
  "functional": "PBE",
  "state": "optimized geometry",
  "space_group": "F-43m, No. 216",
  "e_above_lowest_polymorph_mev_per_atom": 0,
  "mass_density_g_cm3": 11.07,
  "cell": [[0.0000, 3.3524, 3.3524], [3.3524, 0.0000, 3.3524], [3.3524, 3.3524, 0.0000]],
  "species": ["Hf", "Pa", "Nb"],
  "frac_coords": [[0.0000, 0.0000, 0.0000], [0.5000, 0.5000, 0.5000], [0.2500, 0.2500, 0.2500]]
}



Entry 4:
{
  "formula": "HfNb2Pb2",
  "functional": "PBE",
  "state": "optimized geometry",
  "space_group": "I4/mmm, No. 139",
  "total_energy_ev_per_cell": -33.97,
  "mass_density_g_cm3": 10.62,
  "cell": [[-2.1341, 2.1341, 6.6862], [2.1341, -2.1341, 6.6862], [2.1341, 2.1341, -6.6862]],
  "species": ["Hf", "Nb", "Nb", "Pb", "Pb"],
  "frac_coords": [[0.0000, 0.0000, 0.0000], [0.4121, 0.4121, 0.0000], [0.5879, 0.5879, 0.0000], [0.2500, 0.7500, 0.5000], [0.7500, 0.2500, 0.5000]]
}